Computed, not measured: a relaxed SrCdNiF6 crystal at the PBE+U level of DFT.

The structure in POSCAR format:
```
SrCdNiF6
1.0
-4.669 2.824 1.993
2.085 -4.577 2.906
5.429 5.554 4.850
Ni Sr F Cd
2 2 12 2
Direct
0.333 0.667 0.750
0.667 0.333 0.250
0.667 0.333 0.750
0.333 0.667 0.250
0.638 0.949 0.872
0.949 0.638 0.372
0.638 0.689 0.628
0.362 0.051 0.128
0.689 0.638 0.128
0.311 0.949 0.628
0.311 0.362 0.872
0.362 0.311 0.372
0.051 0.362 0.628
0.689 0.051 0.372
0.051 0.689 0.872
0.949 0.311 0.128
0.000 0.000 0.000
0.000 0.000 0.500
```

Output
- Uncorrected energy: -40.78 eV/f.u.
- Fermi-level density of states: 0.00 states/eV/f.u.
- Spin magnetization: 2.0 μB per formula unit